Entry 1:
Y3MgN: optimized geometry, PBE.

CIF file:
```
data_Y3MgN
_cell_length_a 3.556
_cell_length_b 7.470
_cell_length_c 9.407
_cell_angle_alpha 88.09
_cell_angle_beta 79.18
_cell_angle_gamma 76.24
_symmetry_space_group_name_H-M 'P 1'
_symmetry_Int_Tables_number 1
_symmetry_space_group_name_Hall 'P 1'
loop_
_atom_site_label
_atom_site_type_symbol
_atom_site_fract_x
_atom_site_fract_y
_atom_site_fract_z
Y1 Y 0.000 0.000 0.000
Y2 Y 0.006 0.472 0.512
Y3 Y 0.246 0.859 0.646
Y4 Y 0.478 0.746 0.292
Y5 Y 0.493 0.242 0.770
Y6 Y 0.734 0.618 0.915
Mg1 Mg 0.248 0.347 0.160
Mg2 Mg 0.748 0.100 0.399
N1 N 0.621 0.925 0.831
N2 N 0.872 0.795 0.456
```

Computed properties:
Its formation energy without anion corrections is -57.1 kJ/mol of atoms. For the total DFT energy (no corrections), the calculation gives -6.454 eV/atom. Its density is 4.249 g cm⁻³.

Entry 2:
Pb5Cl3: optimized geometry, PBE.

CIF file:
```
data_Pb5Cl3
_cell_length_a 9.324
_cell_length_b 9.324
_cell_length_c 6.411
_cell_angle_alpha 90.00
_cell_angle_beta 90.00
_cell_angle_gamma 120.00
_symmetry_space_group_name_H-M 'P 1'
_symmetry_Int_Tables_number 1
_symmetry_space_group_name_Hall 'P 1'
loop_
_atom_site_label
_atom_site_type_symbol
_atom_site_fract_x
_atom_site_fract_y
_atom_site_fract_z
Pb1 Pb 0.000 0.200 0.250
Pb2 Pb 0.000 0.800 0.750
Pb3 Pb 0.200 0.000 0.250
Pb4 Pb 0.200 0.200 0.750
Pb5 Pb 0.333 0.667 0.000
Pb6 Pb 0.333 0.667 0.500
Pb7 Pb 0.667 0.333 0.000
Pb8 Pb 0.667 0.333 0.500
Pb9 Pb 0.800 0.000 0.750
Pb10 Pb 0.800 0.800 0.250
Cl1 Cl 0.000 0.409 0.750
Cl2 Cl 0.000 0.591 0.250
Cl3 Cl 0.409 0.000 0.750
Cl4 Cl 0.409 0.409 0.250
Cl5 Cl 0.591 0.000 0.250
Cl6 Cl 0.591 0.591 0.750
```

Computed properties:
Its formation energy without anion corrections is -24.6 kJ/mol of atoms. For the total DFT energy (no corrections), the calculation gives -3.265 eV/atom. Its density is 7.861 g cm⁻³.

Entry 3:
CaFeCl3: optimized geometry, PBE.

CIF file:
```
data_CaFeCl3
_cell_length_a 5.312
_cell_length_b 5.312
_cell_length_c 5.312
_cell_angle_alpha 90.00
_cell_angle_beta 90.00
_cell_angle_gamma 90.00
_symmetry_space_group_name_H-M 'P 1'
_symmetry_Int_Tables_number 1
_symmetry_space_group_name_Hall 'P 1'
loop_
_atom_site_label
_atom_site_type_symbol
_atom_site_fract_x
_atom_site_fract_y
_atom_site_fract_z
Ca1 Ca 0.000 0.000 0.000
Fe1 Fe 0.500 0.500 0.500
Cl1 Cl 0.000 0.000 0.500
Cl2 Cl 0.000 0.500 0.000
Cl3 Cl 0.500 0.000 0.000
```

Computed properties:
Its formation energy without anion corrections is -78.4 kJ/mol of atoms. For the total DFT energy (no corrections), the calculation gives -4.013 eV/atom. Its density is 2.241 g cm⁻³.

What is the formula in the third record? CaFeCl3